Entry 1:
Material: TbZr2Cu6
Method: DFT, PBE
State: optimized geometry

a = 7.4295 Å, b = 7.4295 Å, c = 3.0875 Å
α = 90.00°, β = 90.00°, γ = 120.00°
Last column: nearest neighbours and their distance in Å.
Fractional positions:
Tb1 0.0000 0.0000 0.0000  12 Cu 2.94, 2 Tb 3.09
Zr1 0.3333 0.6667 0.0000  12 Cu 2.91, 2 Zr 3.09
Zr2 0.6667 0.3333 0.0000  12 Cu 2.91, 2 Zr 3.09
Cu1 0.0000 0.3365 0.5000  3 Cu 2.43-2.50
Cu2 0.0000 0.6635 0.5000  3 Cu 2.43-2.50
Cu3 0.3365 0.0000 0.5000  3 Cu 2.43-2.50
Cu4 0.3365 0.3365 0.5000  3 Cu 2.43-2.50
Cu5 0.6635 0.0000 0.5000  3 Cu 2.43-2.50
Cu6 0.6635 0.6635 0.5000  3 Cu 2.43-2.50

Output
E_form ... -1.4 eV per formula unit
Symmetry ... P6/mmm, No. 191
Fermi-level density of states ... 6.0 states/eV per cell

Entry 2:
Material: TbZrCu2
Method: DFT, PBE
State: optimized geometry

a = 4.7778 Å, b = 4.7778 Å, c = 4.7778 Å
α = 60.00°, β = 60.00°, γ = 60.00°
Last column: nearest neighbours and their distance in Å.
Fractional positions:
Tb1 0.0000 0.0000 0.0000  8 Cu 2.93
Zr1 0.5000 0.5000 0.5000  8 Cu 2.93
Cu1 0.2500 0.2500 0.2500  4 Zr 2.93, 4 Tb 2.93
Cu2 0.7500 0.7500 0.7500  4 Tb 2.93, 4 Zr 2.93

Output
E_form ... -0.4 eV per formula unit
Symmetry ... Fm-3m, No. 225
Excess energy over the best structure of this formula in the dataset ... 44 meV per atom
Fermi-level density of states ... 4.6 states/eV per cell

Entry 3:
Material: TbZrCu
Method: DFT, PBE
State: optimized geometry

a = 6.3217 Å, b = 6.3217 Å, c = 6.3217 Å
α = 149.24°, β = 149.24°, γ = 44.06°
Last column: nearest neighbours and their distance in Å.
Fractional positions:
Tb1 0.0000 0.0000 0.0000  4 Cu 3.11, 4 Zr 3.33, 4 Tb 3.35
Zr1 0.3002 0.3002 0.0000  4 Cu 2.81
Cu1 0.6721 0.6721 0.0000  4 Zr 2.81, 4 Tb 3.11

Output
E_form ... -0.2 eV per formula unit
Symmetry ... I4mm, No. 107
Excess energy over the best structure of this formula in the dataset ... 27 meV per atom
Fermi-level density of states ... 4.0 states/eV per cell

Entry 4:
Material: TbZrCu2
Method: DFT, PBE
State: optimized geometry

a = 3.3773 Å, b = 3.3773 Å, c = 6.7823 Å
α = 90.00°, β = 90.00°, γ = 90.00°
Last column: nearest neighbours and their distance in Å.
Fractional positions:
Tb1 0.0000 0.0000 0.0000  8 Cu 3.06, 4 Tb 3.38, 2 Zr 3.39
Zr1 0.0000 0.0000 0.5000  8 Cu 2.81
Cu1 0.5000 0.5000 0.2821  4 Zr 2.81, 1 Cu 2.96, 4 Tb 3.06
Cu2 0.5000 0.5000 0.7179  4 Zr 2.81, 1 Cu 2.96, 4 Tb 3.06

Output
E_form ... -0.6 eV per formula unit
Symmetry ... P4/mmm, No. 123
Excess energy over the best structure of this formula in the dataset ... 0 meV per atom
Fermi-level density of states ... 4.3 states/eV per cell

Entry 5:
Material: Tb2ZrCu
Method: DFT, PBE
State: optimized geometry

a = 11.0713 Å, b = 11.0713 Å, c = 11.0713 Å
α = 16.87°, β = 16.87°, γ = 16.87°
Last column: nearest neighbours and their distance in Å.
Fractional positions:
Tb1 0.0977 0.0977 0.0977  3 Cu 2.93, 1 Zr 3.20, 6 Tb 3.25
Tb2 0.9023 0.9023 0.9023  3 Cu 2.93, 1 Zr 3.20, 6 Tb 3.25
Zr1 0.0000 0.0000 0.0000  2 Tb 3.20, 6 Zr 3.25
Cu1 0.5000 0.5000 0.5000  6 Tb 2.93, 6 Cu 3.25

Output
E_form ... 1.4 eV per formula unit
Symmetry ... R-3m, No. 166
Excess energy over the best structure of this formula in the dataset ... 413 meV per atom
Fermi-level density of states ... 3.6 states/eV per cell

Entry 6:
Material: TbZrCu
Method: DFT, PBE
State: optimized geometry

a = 8.9088 Å, b = 8.9088 Å, c = 4.4236 Å
α = 90.00°, β = 90.00°, γ = 157.80°
Last column: nearest neighbours and their distance in Å.
Fractional positions:
Tb1 0.0970 0.9030 0.7500  6 Cu 2.96-2.97
Tb2 0.9030 0.0970 0.2500  6 Cu 2.96-2.97
Zr1 0.2872 0.7128 0.7500  1 Cu 2.99, 4 Zr 3.09, 1 Tb 3.33
Zr2 0.7128 0.2872 0.2500  1 Cu 2.99, 4 Zr 3.09, 1 Tb 3.33
Cu1 0.4581 0.5419 0.7500  2 Cu 2.65, 4 Tb 2.96
Cu2 0.5419 0.4581 0.2500  2 Cu 2.65, 4 Tb 2.96

Output
E_form ... -0.3 eV per formula unit
Symmetry ... Cmcm, No. 63
Excess energy over the best structure of this formula in the dataset ... 0 meV per atom
Fermi-level density of states ... 6.0 states/eV per cell